NaPa2CoO6 | GGA+U | optimized geometry

DOS at the Fermi energy = 4.6 states/eV/f.u.
E = -7.911 eV per atom
Total moment = 0.206 μB/atom
Space group = P4mm

a = 5.470 Å, b = 5.121 Å, c = 5.121 Å
α = 90.00°, β = 90.00°, γ = 90.00°
Site moments in Bohr magnetons follow the coordinates.
Fractional coordinates of all 10 atoms:
Pa: 0.982 0.500 0.000  -0.41
Pa: 0.982 0.000 0.500  -0.41
O: 0.763 0.758 0.758  0.05
O: 0.139 0.500 0.500  0.02
O: 0.763 0.242 0.242  0.05
O: 0.199 0.000 0.000  0.07
O: 0.763 0.758 0.242  0.05
O: 0.763 0.242 0.758  0.05
Co: 0.556 0.000 0.000  2.63
Na: 0.537 0.500 0.500  0.00